DFT (PBE with a Hubbard U) results for VAgO3 after structural relaxation.

Results
Magnetic moment: 0.0000 μB/atom
VASP energy: -126.96 eV per cell

```
20
Lattice="-0.949 2.842 -4.339 5.630 -1.920 -2.489 -5.580 -7.829 -3.906" Properties=species:S:1:pos:R:3 pbc="T T T"
V -0.097 -2.691 -6.547
V -0.803 -4.217 -4.188
V 4.802 -1.262 -3.480
V -5.702 -5.645 -7.255
Ag 1.015 -1.593 -2.859
Ag -1.915 -5.314 -7.876
Ag -1.937 -0.447 -4.666
Ag 1.037 -6.460 -6.069
O -0.935 -1.013 -6.861
O 0.035 -5.895 -3.874
O -0.463 0.396 -2.838
O -0.437 -7.303 -7.897
O -0.460 -2.429 -4.699
O -0.439 -4.479 -6.036
O 0.009 -1.021 -0.675
O -0.909 -5.887 -10.060
O 1.530 -2.518 -6.790
O -2.430 -4.390 -3.945
O 3.175 -1.435 -3.237
O -4.075 -5.473 -7.498
```